(1)
Here is a geometry-optimized La8Pr3Tm4 structure from Alexandria via LeMat-Bulk. Energies are from PBE-GGA.

Unit cell a=6.9343 b=9.5044 c=9.5044 alpha=82.14 beta=112.80 gamma=112.80
With the nearest neighbours (Å) after each atom.
Atoms (fractional coordinates):
La 0.5000 0.7554 0.2446  1 Tm 3.06, 1 Pr 3.19
Tm 0.0000 0.0000 0.0000  2 La 3.04
La 0.0000 0.2943 0.7057  2 Pr 3.52, 4 La 3.52-3.57, 3 Tm 3.63-3.67
La 0.7620 0.2985 0.2985  3 La 3.24-3.57, 2 Pr 3.50
La 0.1573 0.2411 0.2411  3 Tm 3.04-3.33, 1 Pr 3.22, 1 La 3.24
La 0.8427 0.7589 0.7589  3 Tm 3.04-3.33, 1 Pr 3.22, 1 La 3.24
Tm 0.0000 0.0000 0.5000  6 La 3.33-3.63, 2 Pr 3.47
La 0.2380 0.7015 0.7015  3 La 3.24-3.57, 2 Pr 3.50
Tm 0.5000 0.0000 0.0000  2 La 3.06
Pr 0.5000 0.0000 0.5000  2 Tm 3.47, 6 La 3.50-3.58
Pr 0.5000 0.5000 0.5000  4 La 3.19-3.22
Tm 0.0000 0.5000 0.0000  6 La 3.33-3.63, 2 Pr 3.47
La 0.5000 0.2446 0.7554  1 Tm 3.06, 1 Pr 3.19
La 0.0000 0.7057 0.2943  2 Pr 3.52, 4 La 3.52-3.57, 3 Tm 3.63-3.67
Pr 0.5000 0.5000 0.0000  2 Tm 3.47, 6 La 3.50-3.58

Summary:
VASP energy = -4.476 eV/atom
SG = No. 12

***

(2)
Here is a geometry-optimized La7Pr3Tm2 structure from Alexandria via LeMat-Bulk. Energies are from PBE-GGA.

Unit cell a=3.6032 b=6.5919 c=18.5774 alpha=75.33 beta=90.00 gamma=90.00
With the nearest neighbours (Å) after each atom.
Atoms (fractional coordinates):
Pr 0.5000 0.5000 0.0000  2 Pr 3.60, 10 La 3.74-3.77
La 0.0000 0.4394 0.8301  2 Tm 3.58, 7 La 3.60-3.82, 3 Pr 3.67-3.74
La 0.5000 0.7687 0.4915  2 La 3.14-3.48, 1 Tm 3.40
Pr 0.0000 0.8807 0.6638  2 Pr 3.60, 7 La 3.67-3.90, 4 Tm 3.70-3.81
Tm 0.5000 0.6135 0.3306  5 La 3.40-3.61, 2 Tm 3.60, 2 Pr 3.70
Tm 0.5000 0.3865 0.6694  5 La 3.40-3.61, 2 Tm 3.60, 2 Pr 3.70
La 0.5000 0.9514 0.8281  1 Tm 3.56, 8 La 3.60-3.82, 3 Pr 3.67-3.77
Pr 0.0000 0.1193 0.3362  2 Pr 3.60, 7 La 3.67-3.90, 4 Tm 3.70-3.81
La 0.5000 0.0486 0.1719  1 Tm 3.56, 8 La 3.60-3.82, 3 Pr 3.67-3.77
La 0.5000 0.2313 0.5085  2 La 3.14-3.48, 1 Tm 3.40
La 0.0000 0.5606 0.1699  2 Tm 3.58, 7 La 3.60-3.82, 3 Pr 3.67-3.74
La 0.0000 0.0000 0.0000  8 La 3.60-3.75, 4 Pr 3.76

Summary:
VASP energy = -4.746 eV/atom
SG = No. 10

***

(3)
Here is a geometry-optimized La4Pr3Tm2 structure from Alexandria via LeMat-Bulk. Energies are from PBE-GGA.

Unit cell a=3.7406 b=6.7711 c=14.8740 alpha=64.61 beta=90.00 gamma=106.03
With the nearest neighbours (Å) after each atom.
Atoms (fractional coordinates):
Pr 0.0000 0.0000 0.0000  4 Tm 3.43, 2 Pr 3.74, 4 La 3.80
La 0.8844 0.7687 0.3977  5 Pr 3.48-3.78, 2 Tm 3.58, 2 La 3.74
Tm 0.3447 0.6894 0.2105  4 Pr 3.43-3.45, 5 La 3.58-3.74, 2 Tm 3.74
La 0.1156 0.2313 0.6023  5 Pr 3.48-3.78, 2 Tm 3.58, 2 La 3.74
Tm 0.6553 0.3106 0.7895  4 Pr 3.43-3.45, 5 La 3.58-3.74, 2 Tm 3.74
Pr 0.6183 0.2366 0.3803  2 Tm 3.45, 6 La 3.48-3.78, 3 Pr 3.52-3.74
Pr 0.3817 0.7634 0.6197  2 Tm 3.45, 6 La 3.48-3.78, 3 Pr 3.52-3.74
La 0.6535 0.3069 0.1274  3 Pr 3.58-3.80, 3 Tm 3.64-3.74, 4 La 3.74-3.96
La 0.3465 0.6931 0.8726  3 Pr 3.58-3.80, 3 Tm 3.64-3.74, 4 La 3.74-3.96

Summary:
VASP energy = -4.689 eV/atom
SG = No. 12
Polymorph energy (0 for the lowest one) = 64 meV per atom

***

(4)
Here is a geometry-optimized La6PrTm5 structure from Alexandria via LeMat-Bulk. Energies are from PBE-GGA.

Unit cell a=6.1961 b=9.6461 c=11.2346 alpha=54.41 beta=58.98 gamma=50.01
With the nearest neighbours (Å) after each atom.
Atoms (fractional coordinates):
La 0.7478 0.4181 0.6641  7 Tm 3.58-3.63, 1 Pr 3.63, 4 La 3.68-3.70
Pr 0.0000 0.0000 0.0000  8 La 3.61-3.63, 4 Tm 3.70
Tm 0.4996 0.8332 0.3342  8 La 3.57-3.62, 3 Tm 3.69-3.70, 1 Pr 3.70
La 0.7518 0.7479 0.0000  6 Tm 3.60-3.62, 2 Pr 3.61-3.62, 4 La 3.66-3.73
La 0.7509 0.0830 0.3359  7 Tm 3.57-3.63, 1 Pr 3.63, 4 La 3.68-3.70
Tm 0.0026 0.3338 0.3327  8 La 3.58-3.61, 4 Tm 3.68-3.70
La 0.2491 0.9170 0.6641  7 Tm 3.57-3.63, 1 Pr 3.63, 4 La 3.68-3.70
La 0.2482 0.2521 0.0000  6 Tm 3.60-3.62, 2 Pr 3.61-3.62, 4 La 3.66-3.73
Tm 0.9974 0.6662 0.6673  8 La 3.58-3.61, 4 Tm 3.68-3.70
La 0.2522 0.5819 0.3359  7 Tm 3.58-3.63, 1 Pr 3.63, 4 La 3.68-3.70
Tm 0.5000 0.5000 0.0000  8 La 3.60-3.63, 2 Tm 3.68, 2 Pr 3.70
Tm 0.5004 0.1668 0.6658  8 La 3.57-3.62, 3 Tm 3.69-3.70, 1 Pr 3.70

Summary:
VASP energy = -4.703 eV/atom
SG = No. 2

***

(5)
Here is a geometry-optimized LaPr3Tm2 structure from Alexandria via LeMat-Bulk. Energies are from PBE-GGA.

Unit cell a=5.6404 b=9.0953 c=9.0953 alpha=111.18 beta=90.00 gamma=90.00
With the nearest neighbours (Å) after each atom.
Atoms (fractional coordinates):
Tm 0.4930 0.6999 0.4860  3 Tm 3.21-3.41, 2 Pr 3.29-3.45
La 0.4930 0.2557 0.2557  3 Pr 3.27-3.60, 4 Tm 3.60
Tm 0.4930 0.4860 0.6999  3 Tm 3.21-3.41, 2 Pr 3.29-3.45
Tm 0.9930 0.5140 0.3001  3 Tm 3.21-3.41, 2 Pr 3.29-3.45
La 0.9930 0.7443 0.7443  3 Pr 3.27-3.60, 4 Tm 3.60
Pr 0.4930 0.6368 0.1062  2 Tm 3.29-3.45, 1 Pr 3.54
Pr 0.9930 0.0942 0.0942  3 La 3.27-3.60, 4 Pr 3.42-3.54, 2 Tm 3.59
Pr 0.4930 0.1062 0.6368  2 Tm 3.29-3.45, 1 Pr 3.54
Pr 0.9930 0.3632 0.8938  2 Tm 3.29-3.45, 1 Pr 3.54
Pr 0.9930 0.8938 0.3632  2 Tm 3.29-3.45, 1 Pr 3.54
Tm 0.9930 0.3001 0.5140  3 Tm 3.21-3.41, 2 Pr 3.29-3.45
Pr 0.4930 0.9058 0.9058  3 La 3.27-3.60, 4 Pr 3.42-3.54, 2 Tm 3.59

Summary:
VASP energy = -4.445 eV/atom
SG = No. 63
Polymorph energy (0 for the lowest one) = 0 meV per atom

***

(6)
Here is a geometry-optimized LaPr5Tm2 structure from Alexandria via LeMat-Bulk. Energies are from PBE-GGA.

Unit cell a=5.1649 b=7.3221 c=14.6471 alpha=90.00 beta=90.00 gamma=90.00
With the nearest neighbours (Å) after each atom.
Atoms (fractional coordinates):
Pr 0.0000 0.0020 0.2494  4 Tm 3.65-3.66, 7 Pr 3.65-3.66, 1 La 3.67
La 0.0000 0.0000 0.5000  4 Tm 3.66, 8 Pr 3.66-3.67
Tm 0.5000 0.2488 0.6256  10 Pr 3.65-3.67, 2 La 3.66
La 0.0000 0.5000 0.0000  4 Tm 3.66, 8 Pr 3.66-3.67
Pr 0.0000 0.0000 0.0000  6 Pr 3.65, 2 La 3.66, 4 Tm 3.67
Pr 0.0000 0.5000 0.5000  6 Pr 3.65, 2 La 3.66, 4 Tm 3.67
Pr 0.5000 0.2489 0.8749  4 Tm 3.65-3.67, 6 Pr 3.65-3.66, 2 La 3.66
Pr 0.0000 0.9980 0.7506  4 Tm 3.65-3.66, 7 Pr 3.65-3.66, 1 La 3.67
Tm 0.5000 0.7512 0.3744  10 Pr 3.65-3.67, 2 La 3.66
Pr 0.5000 0.7511 0.1251  4 Tm 3.65-3.67, 6 Pr 3.65-3.66, 2 La 3.66
Tm 0.5000 0.2512 0.1256  10 Pr 3.65-3.67, 2 La 3.66
Pr 0.0000 0.4980 0.7494  4 Tm 3.65-3.66, 7 Pr 3.65-3.66, 1 La 3.67
Pr 0.5000 0.7489 0.6251  4 Tm 3.65-3.67, 6 Pr 3.65-3.66, 2 La 3.66
Tm 0.5000 0.7488 0.8744  10 Pr 3.65-3.67, 2 La 3.66
Pr 0.0000 0.5020 0.2506  4 Tm 3.65-3.66, 7 Pr 3.65-3.66, 1 La 3.67
Pr 0.5000 0.2511 0.3749  4 Tm 3.65-3.67, 6 Pr 3.65-3.66, 2 La 3.66

Summary:
VASP energy = -4.711 eV/atom
SG = No. 55
Polymorph energy (0 for the lowest one) = 0 meV per atom

***

(7)
Here is a geometry-optimized La5Pr2Tm12 structure from Alexandria via LeMat-Bulk. Energies are from PBE-GGA.

Unit cell a=6.7844 b=15.5410 c=16.3760 alpha=153.73 beta=88.43 gamma=106.19
With the nearest neighbours (Å) after each atom.
Atoms (fractional coordinates):
Tm 0.9237 0.0048 0.7603  7 Tm 3.27-3.57, 2 La 3.57-3.58
Tm 0.3665 0.4461 0.2590  7 Tm 3.46-3.68, 3 La 3.52-3.79, 2 Pr 3.60-3.74
Tm 0.6215 0.0591 0.2354  3 La 3.48-3.64, 7 Tm 3.52-3.68, 2 Pr 3.59-3.61
La 0.2351 0.4684 0.5031  2 La 3.48-3.62, 4 Pr 3.54-3.70, 6 Tm 3.57-3.79
Tm 0.6335 0.5539 0.7410  7 Tm 3.46-3.68, 3 La 3.52-3.79, 2 Pr 3.60-3.74
La 0.4894 0.0652 0.4470  6 Tm 3.25-3.58, 1 La 3.51
Tm 0.9058 0.5189 0.2752  7 Tm 3.29-3.60, 2 La 3.57-3.58, 1 Pr 3.67
Tm 0.0763 0.9952 0.2397  7 Tm 3.27-3.57, 2 La 3.57-3.58
La 0.5106 0.9348 0.5530  6 Tm 3.25-3.58, 1 La 3.51
Tm 0.1038 0.4888 0.0676  4 Tm 2.97-3.29, 1 La 3.25
Tm 0.4769 0.6001 0.9836  7 Tm 3.27-3.63, 2 La 3.34-3.50
Tm 0.5231 0.3999 0.0164  7 Tm 3.27-3.63, 2 La 3.34-3.50
La 0.0000 0.0000 0.5000  4 Tm 3.50-3.92, 2 La 3.51
Tm 0.8962 0.5112 0.9324  4 Tm 2.97-3.29, 1 La 3.25
La 0.7649 0.5316 0.4969  2 La 3.48-3.62, 4 Pr 3.54-3.70, 6 Tm 3.57-3.79
Pr 0.7800 0.0432 0.0120  2 Pr 3.48-3.56, 4 La 3.54-3.70, 6 Tm 3.59-3.74
Pr 0.2200 0.9568 0.9880  2 Pr 3.48-3.56, 4 La 3.54-3.70, 6 Tm 3.59-3.74
Tm 0.3785 0.9409 0.7646  3 La 3.48-3.64, 7 Tm 3.52-3.68, 2 Pr 3.59-3.61
Tm 0.0942 0.4811 0.7248  7 Tm 3.29-3.60, 2 La 3.57-3.58, 1 Pr 3.67

Summary:
VASP energy = -4.530 eV/atom
SG = No. 2

***

(8)
Here is a geometry-optimized La5Pr2Tm4 structure from Alexandria via LeMat-Bulk. Energies are from PBE-GGA.

Unit cell a=3.5732 b=9.2912 c=12.8799 alpha=111.14 beta=97.97 gamma=90.00
With the nearest neighbours (Å) after each atom.
Atoms (fractional coordinates):
La 0.1430 0.3429 0.2860  3 Tm 3.50-3.57, 1 Pr 3.50, 3 La 3.57-3.71
Tm 0.0000 0.3198 0.0000  7 Tm 3.34-3.57, 4 La 3.47-3.57
La 0.1430 0.9431 0.2860  3 Tm 3.50-3.57, 1 Pr 3.50, 3 La 3.57-3.71
Pr 0.7321 0.7321 0.4642  1 Tm 3.25, 2 La 3.50, 2 Pr 3.57
La 0.8570 0.6571 0.7140  3 Tm 3.50-3.57, 1 Pr 3.50, 3 La 3.57-3.71
Pr 0.2679 0.2679 0.5358  1 Tm 3.25, 2 La 3.50, 2 Pr 3.57
La 0.8570 0.0569 0.7140  3 Tm 3.50-3.57, 1 Pr 3.50, 3 La 3.57-3.71
La 0.5000 0.0000 0.0000  4 Tm 3.47, 2 La 3.57
Tm 0.0000 0.6802 0.0000  7 Tm 3.34-3.57, 4 La 3.47-3.57
Tm 0.5954 0.5954 0.1908  1 Pr 3.25, 6 Tm 3.34-3.57, 4 La 3.50
Tm 0.4046 0.4046 0.8092  1 Pr 3.25, 6 Tm 3.34-3.57, 4 La 3.50

Summary:
VASP energy = -4.588 eV/atom
SG = No. 71
Polymorph energy (0 for the lowest one) = 10 meV per atom

***

(9)
Here is a geometry-optimized La9Pr11Tm4 structure from Alexandria via LeMat-Bulk. Energies are from PBE-GGA.

Unit cell a=3.7267 b=16.1628 c=16.1628 alpha=117.79 beta=90.00 gamma=90.00
With the nearest neighbours (Å) after each atom.
Atoms (fractional coordinates):
Pr 0.0000 0.0366 0.4002  2 Tm 3.54, 6 La 3.65-3.74, 4 Pr 3.65-3.92
Pr 0.0000 0.2651 0.2651  4 Tm 3.45, 2 Pr 3.73, 4 La 3.85
Tm 0.5000 0.5718 0.7658  6 Pr 3.45-3.54, 2 La 3.53-3.62, 2 Tm 3.73
La 0.5000 0.2057 0.0354  1 Tm 3.53, 8 Pr 3.62-3.85, 2 La 3.73
Pr 0.0000 0.3769 0.6231  4 Tm 3.45, 2 Pr 3.73, 4 La 3.77
Tm 0.5000 0.4282 0.2342  6 Pr 3.45-3.54, 2 La 3.53-3.62, 2 Tm 3.73
Pr 0.0000 0.5998 0.9634  2 Tm 3.54, 6 La 3.65-3.74, 4 Pr 3.65-3.92
Tm 0.5000 0.2342 0.4282  6 Pr 3.45-3.54, 2 La 3.53-3.62, 2 Tm 3.73
Pr 0.0000 0.8230 0.1770  4 Pr 3.65-3.73, 8 La 3.74-3.79
La 0.5000 0.3839 0.8288  3 La 3.55-3.73, 1 Tm 3.62, 8 Pr 3.65-3.79
La 0.5000 0.6161 0.1712  3 La 3.55-3.73, 1 Tm 3.62, 8 Pr 3.65-3.79
La 0.5000 0.5000 0.5000  2 La 3.73, 4 Pr 3.88, 4 Tm 3.89
La 0.5000 0.0354 0.2057  1 Tm 3.53, 8 Pr 3.62-3.85, 2 La 3.73
La 0.5000 0.1712 0.6161  3 La 3.55-3.73, 1 Tm 3.62, 8 Pr 3.65-3.79
Tm 0.5000 0.7658 0.5718  6 Pr 3.45-3.54, 2 La 3.53-3.62, 2 Tm 3.73
Pr 0.0000 0.1770 0.8230  4 Pr 3.65-3.73, 8 La 3.74-3.79
La 0.5000 0.7943 0.9646  1 Tm 3.53, 8 Pr 3.62-3.85, 2 La 3.73
La 0.5000 0.9646 0.7943  1 Tm 3.53, 8 Pr 3.62-3.85, 2 La 3.73
Pr 0.0000 0.9634 0.5998  2 Tm 3.54, 6 La 3.65-3.74, 4 Pr 3.65-3.92
Pr 0.0000 0.7349 0.7349  4 Tm 3.45, 2 Pr 3.73, 4 La 3.85
Pr 0.0000 0.4002 0.0366  2 Tm 3.54, 6 La 3.65-3.74, 4 Pr 3.65-3.92
Pr 0.0000 0.0000 0.0000  8 La 3.62, 2 Pr 3.73
La 0.5000 0.8288 0.3839  3 La 3.55-3.73, 1 Tm 3.62, 8 Pr 3.65-3.79
Pr 0.0000 0.6231 0.3769  4 Tm 3.45, 2 Pr 3.73, 4 La 3.77

Summary:
VASP energy = -4.735 eV/atom
SG = No. 65